[1]
Li3Mg2Pt3 | GGA-PBE | relaxed

Calculated values
Formation energy from the elements   -578 meV per atom
Spin magnetization   0.00 Bohr magnetons per cell
Uncorrected energy   -63.4 eV for the cell shown

Lattice parameters (Å, degrees): 4.7387 4.5978 11.1925 90.00 90.00 90.01
With the nearest neighbours (Å) after each atom.
Positions (direct):
Pt (0.8148, 0.7500, 0.3748)  6 Li 2.65-2.88, 3 Mg 2.70-2.75, 3 Pt 2.79-2.85
Pt (0.1852, 0.2500, 0.8748)  6 Li 2.65-2.88, 3 Mg 2.70-2.75, 3 Pt 2.79-2.85
Pt (0.6190, 0.2500, 0.2500)  4 Li 2.68-2.78, 4 Mg 2.76-2.86, 4 Pt 2.85
Pt (0.3810, 0.7500, 0.7500)  4 Li 2.68-2.78, 4 Mg 2.76-2.86, 4 Pt 2.85
Pt (0.8148, 0.7500, 0.1252)  6 Li 2.65-2.88, 3 Mg 2.70-2.75, 3 Pt 2.79-2.85
Pt (0.1852, 0.2500, 0.6252)  6 Li 2.65-2.88, 3 Mg 2.70-2.75, 3 Pt 2.79-2.85
Mg (0.1308, 0.2500, 0.1150)  4 Li 2.58-2.83, 5 Pt 2.70-2.86
Mg (0.8692, 0.7500, 0.6150)  4 Li 2.58-2.83, 5 Pt 2.70-2.86
Mg (0.1308, 0.2500, 0.3850)  4 Li 2.58-2.83, 5 Pt 2.70-2.86
Mg (0.8692, 0.7500, 0.8850)  4 Li 2.58-2.83, 5 Pt 2.70-2.86
Li (0.3439, 0.7500, 0.5023)  4 Mg 2.58-2.83, 5 Pt 2.65-2.88, 3 Li 2.73-2.83
Li (0.3278, 0.7500, 0.2500)  6 Pt 2.68-2.80, 2 Li 2.83, 4 Mg 2.90-2.91
Li (0.6561, 0.2500, 0.4977)  4 Mg 2.58-2.83, 5 Pt 2.65-2.88, 3 Li 2.73-2.83
Li (0.6722, 0.2500, 0.7500)  6 Pt 2.68-2.80, 2 Li 2.83, 4 Mg 2.90-2.91
Li (0.3439, 0.7500, 0.9977)  4 Mg 2.58-2.83, 5 Pt 2.65-2.88, 3 Li 2.73-2.83
Li (0.6561, 0.2500, 0.0023)  4 Mg 2.58-2.83, 5 Pt 2.65-2.88, 3 Li 2.73-2.83

[2]
LiMgPt2 | GGA-PBE | relaxed

Calculated values
Formation energy from the elements   -713 meV per atom
Spin magnetization   0.00 Bohr magnetons per cell
Uncorrected energy   -18.4 eV for the cell shown

Lattice parameters (Å, degrees): 3.0704 3.0704 6.0978 90.00 90.00 90.00
With the nearest neighbours (Å) after each atom.
Positions (direct):
Mg (0.5000, 0.5000, 0.7500)  8 Pt 2.70
Pt (0.0000, 0.0000, 0.0140)  4 Li 2.60, 4 Mg 2.70, 1 Pt 2.88
Pt (0.0000, 0.0000, 0.4860)  4 Li 2.60, 4 Mg 2.70, 1 Pt 2.88
Li (0.5000, 0.5000, 0.2500)  8 Pt 2.60

[3]
LiMg2Pt9 | GGA-PBE | relaxed

Calculated values
Formation energy from the elements   -537 meV per atom
Spin magnetization   0.00 Bohr magnetons per cell
Uncorrected energy   -65.9 eV for the cell shown

Lattice parameters (Å, degrees): 3.9390 3.9390 11.7924 90.00 90.00 90.00
With the nearest neighbours (Å) after each atom.
Positions (direct):
Pt (0.5000, 0.5000, 0.3309)  4 Mg 2.79, 8 Pt 2.80
Pt (0.5000, 0.0000, 0.5000)  8 Pt 2.79-2.80, 4 Mg 2.80
Pt (0.5000, 0.5000, 0.0000)  8 Pt 2.74, 4 Li 2.79
Pt (0.5000, 0.5000, 0.6691)  4 Mg 2.79, 8 Pt 2.80
Pt (0.5000, 0.0000, 0.1620)  2 Li 2.74, 8 Pt 2.74-2.80, 2 Mg 2.80
Pt (0.0000, 0.5000, 0.5000)  8 Pt 2.79-2.80, 4 Mg 2.80
Pt (0.0000, 0.5000, 0.8380)  8 Pt 2.74-2.80, 2 Li 2.74, 2 Mg 2.80
Pt (0.5000, 0.0000, 0.8380)  2 Li 2.74, 8 Pt 2.74-2.80, 2 Mg 2.80
Pt (0.0000, 0.5000, 0.1620)  8 Pt 2.74-2.80, 2 Li 2.74, 2 Mg 2.80
Li (0.0000, 0.0000, 0.0000)  12 Pt 2.74-2.79
Mg (0.0000, 0.0000, 0.3310)  12 Pt 2.79-2.80
Mg (0.0000, 0.0000, 0.6690)  12 Pt 2.79-2.80

[4]
LiMgPt2 | GGA-PBE | relaxed

Calculated values
Formation energy from the elements   -574 meV per atom
Spin magnetization   0.00 Bohr magnetons per cell
Uncorrected energy   -17.9 eV for the cell shown

Lattice parameters (Å, degrees): 4.4428 4.4428 4.4428 60.00 60.00 60.00
With the nearest neighbours (Å) after each atom.
Positions (direct):
Pt (0.0000, 0.0000, 0.0000)  4 Pt 2.72, 4 Mg 2.72
Pt (0.2500, 0.2500, 0.2500)  4 Li 2.72, 4 Pt 2.72
Mg (0.7500, 0.7500, 0.7500)  4 Li 2.72, 4 Pt 2.72
Li (0.5000, 0.5000, 0.5000)  4 Mg 2.72, 4 Pt 2.72

[5]
LiMgPt2 | GGA-PBE | relaxed

Calculated values
Formation energy from the elements   -577 meV per atom
Spin magnetization   0.00 Bohr magnetons per cell
Uncorrected energy   -17.9 eV for the cell shown

Lattice parameters (Å, degrees): 2.7792 4.0779 5.4016 90.00 90.00 90.00
With the nearest neighbours (Å) after each atom.
Positions (direct):
Pt (0.5000, 0.5000, 0.2745)  2 Mg 2.65-2.75, 4 Li 2.69, 6 Pt 2.78-2.92
Pt (0.0000, 0.0000, 0.9866)  2 Li 2.63-2.77, 4 Mg 2.74, 6 Pt 2.78-2.92
Li (0.0000, 0.0000, 0.4731)  6 Pt 2.63-2.77, 2 Li 2.78, 4 Mg 2.93
Mg (0.5000, 0.5000, 0.7658)  6 Pt 2.65-2.75, 2 Mg 2.78, 4 Li 2.93

[6]
LiMg2Pt2 | GGA-PBE | relaxed

Calculated values
Formation energy from the elements   -458 meV per atom
Spin magnetization   0.00 Bohr magnetons per cell
Uncorrected energy   -19.5 eV for the cell shown

Lattice parameters (Å, degrees): 4.1430 4.1430 6.4940 71.40 71.40 90.00
With the nearest neighbours (Å) after each atom.
Positions (direct):
Pt (0.3891, 0.3891, 0.2219)  1 Pt 2.57, 4 Mg 2.62
Pt (0.6109, 0.6109, 0.7781)  1 Pt 2.57, 4 Mg 2.62
Li (0.0000, 0.0000, 0.0000)  8 Pt 3.20, 8 Mg 3.56
Mg (0.2500, 0.7500, 0.5000)  4 Pt 2.62, 4 Mg 2.93
Mg (0.7500, 0.2500, 0.5000)  4 Pt 2.62, 4 Mg 2.93

[7]
LiMgPt2 | GGA-PBE | relaxed

Calculated values
Formation energy from the elements   -447 meV per atom
Spin magnetization   0.00 Bohr magnetons per cell
Uncorrected energy   -17.4 eV for the cell shown

Lattice parameters (Å, degrees): 3.1077 3.1077 6.1959 90.00 90.00 90.00
With the nearest neighbours (Å) after each atom.
Positions (direct):
Pt (0.0000, 0.0000, 0.9868)  4 Mg 2.66, 4 Pt 2.89
Pt (0.5000, 0.5000, 0.2893)  4 Li 2.49
Mg (0.5000, 0.5000, 0.7447)  5 Pt 2.66-2.82, 4 Li 2.75
Li (0.0000, 0.0000, 0.4792)  4 Pt 2.49, 4 Mg 2.75

[8]
Li3MgPt | GGA-PBE | relaxed

Calculated values
Formation energy from the elements   -67 meV per atom
Spin magnetization   0.00 Bohr magnetons per cell
Uncorrected energy   -13.7 eV for the cell shown

Lattice parameters (Å, degrees): 4.7199 4.7199 4.7199 90.00 90.00 90.00
With the nearest neighbours (Å) after each atom.
Positions (direct):
Pt (0.0000, 0.0000, 0.0000)  6 Li 2.36
Li (0.0000, 0.0000, 0.5000)  2 Pt 2.36
Li (0.0000, 0.5000, 0.0000)  2 Pt 2.36
Li (0.5000, 0.0000, 0.0000)  2 Pt 2.36
Mg (0.5000, 0.5000, 0.5000)  12 Li 3.34

[9]
Li6MgPt2 | GGA-PBE | relaxed

Calculated values
Formation energy from the elements   -329 meV per atom
Spin magnetization   0.00 Bohr magnetons per cell
Uncorrected energy   -28.1 eV for the cell shown

Lattice parameters (Å, degrees): 2.6943 8.1098 8.1098 56.49 70.89 70.89
With the nearest neighbours (Å) after each atom.
Positions (direct):
Li (0.4989, 0.6505, 0.3495)  1 Li 2.31
Li (0.8448, 0.6503, 0.0002)  1 Li 2.31
Li (0.4989, 0.3495, 0.6505)  1 Li 2.31
Li (0.1563, 0.3496, 0.9998)  1 Li 2.31
Li (0.8448, 0.0002, 0.6503)  1 Li 2.31
Li (0.1563, 0.9998, 0.3496)  1 Li 2.31
Pt (0.3335, 0.3332, 0.3332)  2 Pt 2.69, 12 Li 2.82-2.85
Pt (0.6665, 0.6668, 0.6668)  2 Pt 2.69, 12 Li 2.82-2.85
Mg (0.0001, 0.0000, 0.0000)  2 Mg 2.69, 12 Li 3.00

[10]
LiMg2Pt3 | GGA-PBE | relaxed

Calculated values
Formation energy from the elements   -770 meV per atom
Spin magnetization   0.00 Bohr magnetons per cell
Uncorrected energy   -27.8 eV for the cell shown

Lattice parameters (Å, degrees): 2.9424 2.9424 10.3674 90.00 90.00 90.00
With the nearest neighbours (Å) after each atom.
Positions (direct):
Mg (0.5000, 0.5000, 0.8227)  8 Pt 2.72-2.78, 4 Mg 2.94
Mg (0.5000, 0.5000, 0.1773)  8 Pt 2.72-2.78, 4 Mg 2.94
Pt (0.0000, 0.0000, 0.6531)  4 Li 2.62, 4 Mg 2.72
Pt (0.0000, 0.0000, 0.0000)  8 Mg 2.78, 4 Pt 2.94
Pt (0.0000, 0.0000, 0.3469)  4 Li 2.62, 4 Mg 2.72
Li (0.5000, 0.5000, 0.5000)  8 Pt 2.62

[11]
LiMgPt | GGA-PBE | relaxed

Calculated values
Formation energy from the elements   -630 meV per atom
Spin magnetization   0.00 Bohr magnetons per cell
Uncorrected energy   -11.4 eV for the cell shown

Lattice parameters (Å, degrees): 4.7636 4.7636 4.7636 144.35 132.09 61.13
With the nearest neighbours (Å) after each atom.
Positions (direct):
Li (0.0081, 0.0081, 0.0000)  5 Mg 2.61-2.85, 5 Pt 2.75-2.81, 2 Li 2.92
Mg (0.3261, 0.3261, 0.0000)  5 Li 2.61-2.85, 5 Pt 2.76-2.79, 2 Mg 2.92
Pt (0.6658, 0.6658, 0.0000)  5 Li 2.75-2.81, 5 Mg 2.76-2.79, 2 Pt 2.92

[12]
LiMgPt2 | GGA-PBE | relaxed

Calculated values
Formation energy from the elements   -597 meV per atom
Spin magnetization   0.00 Bohr magnetons per cell
Uncorrected energy   -18.0 eV for the cell shown

Lattice parameters (Å, degrees): 4.6331 4.6331 4.8411 77.24 77.24 36.82
With the nearest neighbours (Å) after each atom.
Positions (direct):
Mg (0.7500, 0.7500, 0.7500)  6 Pt 2.69-2.76, 4 Li 2.83, 2 Mg 2.93
Pt (0.0000, 0.0000, 0.0053)  3 Li 2.68-2.73, 3 Mg 2.69-2.76, 6 Pt 2.78-2.93
Pt (0.5000, 0.5000, 0.4947)  3 Li 2.68-2.73, 3 Mg 2.69-2.76, 6 Pt 2.78-2.93
Li (0.2500, 0.2500, 0.2500)  6 Pt 2.68-2.73, 4 Mg 2.83, 2 Li 2.93